1.
# GGA-PBE TbSm6Cd2, optimized geometry
data_TbSm6Cd2
_cell_length_a 6.1944
_cell_length_b 9.7036
_cell_length_c 9.7036
_cell_angle_alpha 73.27
_cell_angle_beta 85.55
_cell_angle_gamma 85.55
_symmetry_space_group_name_H-M 'P 1'
_symmetry_Int_Tables_number 1
loop_
_symmetry_equiv_pos_as_xyz
'x,y,z'
loop_
_atom_site_label
_atom_site_fract_x
_atom_site_fract_y
_atom_site_fract_z
Sm1 0.3367 0.9032 0.6482
Sm2 0.6633 0.0968 0.3518
Sm3 0.8133 0.0320 0.7312
Sm4 0.4914 0.6830 0.4296
Sm5 0.1633 0.3518 0.0968
Sm6 0.9914 0.4296 0.6830
Sm7 0.3133 0.7312 0.0320
Sm8 0.1867 0.9680 0.2688
Sm9 0.0086 0.5704 0.3170
Sm10 0.5086 0.3170 0.5704
Sm11 0.6867 0.2688 0.9680
Sm12 0.8367 0.6482 0.9032
Cd1 0.5923 0.4590 0.2128
Cd2 0.9077 0.7872 0.5410
Cd3 0.0923 0.2128 0.4590
Cd4 0.4077 0.5410 0.7872
Tb1 0.7500 0.8986 0.1014
Tb2 0.2500 0.1014 0.8986
# Energy relative to the lowest polymorph listed for this composition ... 0.62 eV/f.u.
# Formation energy ... -0.06 eV per atom

***

2.
# GGA-PBE Tb2SmCd6, optimized geometry
data_Tb2SmCd6
_cell_length_a 3.4291
_cell_length_b 8.6811
_cell_length_c 8.6811
_cell_angle_alpha 120.00
_cell_angle_beta 90.00
_cell_angle_gamma 90.00
_symmetry_space_group_name_H-M 'P 1'
_symmetry_Int_Tables_number 1
loop_
_symmetry_equiv_pos_as_xyz
'x,y,z'
loop_
_atom_site_label
_atom_site_fract_x
_atom_site_fract_y
_atom_site_fract_z
Tb1 0.0000 0.6667 0.3333
Tb2 0.0000 0.3333 0.6667
Sm1 0.0000 0.0000 0.0000
Cd1 0.5000 0.0000 0.6652
Cd2 0.5000 0.3348 0.0000
Cd3 0.5000 0.0000 0.3348
Cd4 0.5000 0.6652 0.0000
Cd5 0.5000 0.3348 0.3348
Cd6 0.5000 0.6652 0.6652
# Energy relative to the lowest polymorph listed for this composition ... 0.00 eV/f.u.
# Formation energy ... -0.33 eV per atom

***

3.
# GGA-PBE TbSm3Cd6, optimized geometry
data_TbSm3Cd6
_cell_length_a 5.1971
_cell_length_b 9.3494
_cell_length_c 11.1515
_cell_angle_alpha 105.08
_cell_angle_beta 90.00
_cell_angle_gamma 90.00
_symmetry_space_group_name_H-M 'P 1'
_symmetry_Int_Tables_number 1
loop_
_symmetry_equiv_pos_as_xyz
'x,y,z'
loop_
_atom_site_label
_atom_site_fract_x
_atom_site_fract_y
_atom_site_fract_z
Cd1 0.7500 0.8545 0.8102
Cd2 0.2500 0.0500 0.8951
Cd3 0.7500 0.5498 0.9093
Cd4 0.7500 0.9500 0.1049
Cd5 0.7500 0.7656 0.5106
Cd6 0.2500 0.8588 0.3070
Cd7 0.2500 0.6652 0.7078
Cd8 0.7500 0.3348 0.2922
Cd9 0.2500 0.4502 0.0907
Cd10 0.7500 0.1412 0.6930
Cd11 0.2500 0.2344 0.4894
Cd12 0.2500 0.1455 0.1898
Sm1 0.7500 0.4739 0.6077
Sm2 0.2500 0.3490 0.7859
Sm3 0.2500 0.5261 0.3923
Sm4 0.7500 0.6510 0.2141
Sm5 0.7500 0.2377 0.9974
Sm6 0.2500 0.7623 0.0026
Tb1 0.7500 0.0551 0.3941
Tb2 0.2500 0.9449 0.6059
# Formation energy ... -0.29 eV per atom

***

4.
# GGA-PBE TbSm6Cd2, optimized geometry
data_TbSm6Cd2
_cell_length_a 3.8007
_cell_length_b 6.6865
_cell_length_c 11.8834
_cell_angle_alpha 75.62
_cell_angle_beta 80.80
_cell_angle_gamma 73.49
_symmetry_space_group_name_H-M 'P 1'
_symmetry_Int_Tables_number 1
loop_
_symmetry_equiv_pos_as_xyz
'x,y,z'
loop_
_atom_site_label
_atom_site_fract_x
_atom_site_fract_y
_atom_site_fract_z
Sm1 0.3111 0.7908 0.5870
Sm2 0.3150 0.4932 0.8768
Sm3 0.6889 0.2092 0.4130
Sm4 0.6850 0.5068 0.1232
Sm5 0.9817 0.6984 0.3382
Sm6 0.0183 0.3016 0.6617
Cd1 0.3564 0.0842 0.2031
Cd2 0.6436 0.9158 0.7969
Tb1 0.0000 0.0000 0.0000
# Energy relative to the lowest polymorph listed for this composition ... 0.00 eV/f.u.
# Formation energy ... -0.13 eV per atom

***

5.
# GGA-PBE TbSm2Cd8, optimized geometry
data_TbSm2Cd8
_cell_length_a 5.0023
_cell_length_b 7.0792
_cell_length_c 8.3723
_cell_angle_alpha 106.41
_cell_angle_beta 107.35
_cell_angle_gamma 89.97
_symmetry_space_group_name_H-M 'P 1'
_symmetry_Int_Tables_number 1
loop_
_symmetry_equiv_pos_as_xyz
'x,y,z'
loop_
_atom_site_label
_atom_site_fract_x
_atom_site_fract_y
_atom_site_fract_z
Sm1 0.2163 0.6474 0.4311
Sm2 0.7837 0.3526 0.5689
Cd1 0.9845 0.2831 0.9682
Cd2 0.8563 0.8658 0.7116
Cd3 0.5904 0.4631 0.1792
Cd4 0.0155 0.7169 0.0318
Cd5 0.1437 0.1342 0.2884
Cd6 0.3259 0.1053 0.6529
Cd7 0.6741 0.8947 0.3471
Cd8 0.4096 0.5369 0.8208
Tb1 0.5000 0.0000 0.0000
# Formation energy ... -0.25 eV per atom

***

6.
# GGA-PBE Tb4Sm9Cd11, optimized geometry
data_Tb4Sm9Cd11
_cell_length_a 3.5893
_cell_length_b 14.0824
_cell_length_c 14.0824
_cell_angle_alpha 110.65
_cell_angle_beta 90.00
_cell_angle_gamma 90.00
_symmetry_space_group_name_H-M 'P 1'
_symmetry_Int_Tables_number 1
loop_
_symmetry_equiv_pos_as_xyz
'x,y,z'
loop_
_atom_site_label
_atom_site_fract_x
_atom_site_fract_y
_atom_site_fract_z
Cd1 0.0000 0.8250 0.1750
Cd2 0.0000 0.0000 0.0000
Cd3 0.0000 0.5868 0.9474
Cd4 0.0000 0.0526 0.4132
Cd5 0.0000 0.9474 0.5868
Cd6 0.0000 0.7698 0.7698
Cd7 0.0000 0.6313 0.3687
Cd8 0.0000 0.2302 0.2302
Cd9 0.0000 0.4132 0.0526
Cd10 0.0000 0.1750 0.8250
Cd11 0.0000 0.3687 0.6313
Sm1 0.5000 0.9726 0.7928
Sm2 0.5000 0.8483 0.3786
Sm3 0.5000 0.1517 0.6214
Sm4 0.5000 0.7928 0.9726
Sm5 0.5000 0.2072 0.0274
Sm6 0.5000 0.6214 0.1517
Sm7 0.5000 0.3786 0.8483
Sm8 0.5000 0.0274 0.2072
Sm9 0.5000 0.5000 0.5000
Tb1 0.5000 0.5729 0.7482
Tb2 0.5000 0.7482 0.5729
Tb3 0.5000 0.4271 0.2518
Tb4 0.5000 0.2518 0.4271
# Formation energy ... -0.24 eV per atom

***

7.
# GGA-PBE Tb4SmCd3, optimized geometry
data_Tb4SmCd3
_cell_length_a 5.3598
_cell_length_b 5.3598
_cell_length_c 9.5696
_cell_angle_alpha 73.74
_cell_angle_beta 73.74
_cell_angle_gamma 60.00
_symmetry_space_group_name_H-M 'P 1'
_symmetry_Int_Tables_number 1
loop_
_symmetry_equiv_pos_as_xyz
'x,y,z'
loop_
_atom_site_label
_atom_site_fract_x
_atom_site_fract_y
_atom_site_fract_z
Cd1 0.7413 0.7413 0.7760
Cd2 0.2587 0.2587 0.2240
Cd3 0.5000 0.5000 0.5000
Tb1 0.1302 0.1302 0.6095
Tb2 0.6140 0.6140 0.1579
Tb3 0.8698 0.8698 0.3905
Tb4 0.3860 0.3860 0.8421
Sm1 0.0000 0.0000 0.0000
# Formation energy ... -0.17 eV per atom

***

8.
# GGA-PBE TbSm4Cd2, optimized geometry
data_TbSm4Cd2
_cell_length_a 5.2169
_cell_length_b 5.2169
_cell_length_c 10.6201
_cell_angle_alpha 75.78
_cell_angle_beta 75.78
_cell_angle_gamma 60.00
_symmetry_space_group_name_H-M 'P 1'
_symmetry_Int_Tables_number 1
loop_
_symmetry_equiv_pos_as_xyz
'x,y,z'
loop_
_atom_site_label
_atom_site_fract_x
_atom_site_fract_y
_atom_site_fract_z
Sm1 0.7050 0.7050 0.8851
Sm2 0.8883 0.8883 0.3352
Sm3 0.1117 0.1117 0.6648
Sm4 0.2950 0.2950 0.1149
Cd1 0.5999 0.5999 0.2003
Cd2 0.4001 0.4001 0.7997
Tb1 0.5000 0.5000 0.5000
# Formation energy ... 0.21 eV per atom

***

Number 1: DOS(E_F) 1.22 states/eV/atom. Number 2: DOS(E_F) 0.89 states/eV/atom. Number 3: DOS(E_F) 0.83 states/eV/atom. Number 4: DOS(E_F) 1.00 states/eV/atom. Number 5: DOS(E_F) 0.52 states/eV/atom. Number 6: DOS(E_F) 1.11 states/eV/atom. Number 7: DOS(E_F) 1.23 states/eV/atom. Number 8: DOS(E_F) 1.92 states/eV/atom.